P:
A plane-wave DFT calculation with PBE-GGA was carried out for a relaxed Re2BBr crystal.

Structure (extended XYZ):
```
4
Lattice="0.000 2.973 2.973 2.973 0.000 2.973 2.973 2.973 0.000" Properties=species:S:1:pos:R:3 pbc="T T T"
Re 1.486 1.486 1.486
Re 4.459 4.459 4.459
B 0.000 0.000 0.000
Br 2.973 2.973 2.973
```

=====

Q:
A plane-wave DFT calculation with PBE-GGA was carried out for a relaxed Re2BBr crystal.

Structure (extended XYZ):
```
8
Lattice="-2.228 2.228 6.842 2.228 -2.228 6.842 2.228 2.228 -6.842" Properties=species:S:1:pos:R:3 pbc="T T T"
Re 3.342 0.643 -1.710
Re 0.643 1.114 1.710
Re -1.114 1.585 5.131
Re 1.585 1.114 8.552
B 0.000 0.000 0.000
B 0.000 2.228 3.421
Br 2.228 0.000 3.421
Br 0.000 0.000 6.842
```

=====

Stability, descending: Q, P

=====

P:
A plane-wave DFT calculation with PBE-GGA was carried out for a relaxed ReBBr2 crystal.

Structure (extended XYZ):
```
8
Lattice="-3.125 3.125 4.652 3.125 -3.125 4.652 3.125 3.125 -4.652" Properties=species:S:1:pos:R:3 pbc="T T T"
Re 0.000 0.000 0.000
Re 0.000 3.125 2.326
B 3.125 0.000 2.326
B 0.000 0.000 4.652
Br 4.688 1.463 -1.163
Br 1.463 1.563 1.163
Br -1.563 1.662 3.489
Br 1.662 1.563 5.815
```

=====

Q:
A plane-wave DFT calculation with PBE-GGA was carried out for a relaxed ReBBr2 crystal.

Structure (extended XYZ):
```
4
Lattice="0.000 3.187 3.187 3.187 0.000 3.187 3.187 3.187 0.000" Properties=species:S:1:pos:R:3 pbc="T T T"
Re 0.000 0.000 0.000
B 3.187 3.187 3.187
Br 1.594 1.594 1.594
Br 4.781 4.781 4.781
```

=====

Stability, descending: Q, P

=====

P:
A plane-wave DFT calculation with PBE-GGA was carried out for a relaxed ReBRu2Br crystal.

Structure (extended XYZ):
```
5
Lattice="4.610 0.000 0.000 0.000 4.610 0.000 0.000 0.000 3.923" Properties=species:S:1:pos:R:3 pbc="T T T"
Re 0.000 0.000 0.000
B 2.305 2.305 0.000
Ru 0.000 2.305 1.962
Ru 2.305 0.000 1.962
Br 2.305 2.305 1.962
```

=====

Q:
A plane-wave DFT calculation with PBE-GGA was carried out for a relaxed ReBRu2Br crystal.

Structure (extended XYZ):
```
5
Lattice="4.165 0.000 0.000 0.000 4.165 0.000 0.000 0.000 4.209" Properties=species:S:1:pos:R:3 pbc="T T T"
Re 0.000 0.000 0.000
B 0.000 0.000 2.105
Ru 0.000 2.083 2.105
Ru 2.083 0.000 2.105
Br 2.083 2.083 0.000
```

=====

Stability, descending: Q, P

=====

P:
A plane-wave DFT calculation with PBE-GGA was carried out for a relaxed BRhBr2 crystal.

Structure (extended XYZ):
```
4
Lattice="1.678 0.969 7.721 -1.678 0.969 7.721 0.000 -1.938 7.721" Properties=species:S:1:pos:R:3 pbc="T T T"
B 0.000 0.000 0.000
Rh 0.000 0.000 11.581
Br 0.000 0.000 9.185
Br 0.000 0.000 13.977
```

=====

Q:
A plane-wave DFT calculation with PBE-GGA was carried out for a relaxed BRhBr2 crystal.

Structure (extended XYZ):
```
4
Lattice="0.000 3.338 3.338 3.338 0.000 3.338 3.338 3.338 0.000" Properties=species:S:1:pos:R:3 pbc="T T T"
B 0.000 0.000 0.000
Rh 3.338 3.338 3.338
Br 1.669 1.669 1.669
Br 5.007 5.007 5.007
```

=====

Stability, descending: P, Q

=====

P:
A plane-wave DFT calculation with PBE-GGA was carried out for a relaxed BRh3Br crystal.

Structure (extended XYZ):
```
5
Lattice="4.206 0.000 0.000 0.000 4.206 0.000 0.000 0.000 4.206" Properties=species:S:1:pos:R:3 pbc="T T T"
B 0.000 0.000 0.000
Rh 0.000 0.000 2.103
Rh 0.000 2.103 0.000
Rh 2.103 0.000 0.000
Br 2.103 2.103 2.103
```

=====

Q:
A plane-wave DFT calculation with PBE-GGA was carried out for a relaxed BRh3Br crystal.

Structure (extended XYZ):
```
5
Lattice="4.595 0.000 0.000 0.000 4.595 0.000 0.000 0.000 4.595" Properties=species:S:1:pos:R:3 pbc="T T T"
B 0.000 0.000 0.000
Rh 0.000 2.298 2.298
Rh 2.298 0.000 2.298
Rh 2.298 2.298 0.000
Br 2.298 2.298 2.298
```

=====

Stability, descending: P, Q

=====

P:
A plane-wave DFT calculation with PBE-GGA was carried out for a relaxed BRh2Br crystal.

Structure (extended XYZ):
```
8
Lattice="-2.564 2.564 5.253 2.564 -2.564 5.253 2.564 2.564 -5.253" Properties=species:S:1:pos:R:3 pbc="T T T"
B 0.000 0.000 0.000
B 0.000 2.564 2.626
Rh 3.846 0.837 -1.313
Rh 0.837 1.282 1.313
Rh -1.282 1.726 3.939
Rh 1.726 1.282 6.566
Br 2.564 0.000 2.626
Br 0.000 0.000 5.253
```

=====

Q:
A plane-wave DFT calculation with PBE-GGA was carried out for a relaxed BRh2Br crystal.

Structure (extended XYZ):
```
4
Lattice="0.000 3.011 3.011 3.011 0.000 3.011 3.011 3.011 0.000" Properties=species:S:1:pos:R:3 pbc="T T T"
B 0.000 0.000 0.000
Rh 1.506 1.506 1.506
Rh 4.517 4.517 4.517
Br 3.011 3.011 3.011
```

=====

Stability, descending: P, Q

=====

P:
A plane-wave DFT calculation with PBE-GGA was carried out for a relaxed BRhSeBr2 crystal.

Structure (extended XYZ):
```
5
Lattice="5.214 0.000 0.000 0.000 5.214 0.000 0.000 0.000 4.701" Properties=species:S:1:pos:R:3 pbc="T T T"
B 0.000 0.000 0.000
Rh 2.607 2.607 2.350
Se 2.607 2.607 0.000
Br 0.000 2.607 2.350
Br 2.607 0.000 2.350
```

=====

Q:
A plane-wave DFT calculation with PBE-GGA was carried out for a relaxed BRhSeBr2 crystal.

Structure (extended XYZ):
```
5
Lattice="4.566 0.000 0.000 0.000 4.566 0.000 0.000 0.000 4.595" Properties=species:S:1:pos:R:3 pbc="T T T"
B 0.000 0.000 0.000
Rh 2.283 2.283 2.297
Se 0.000 0.000 2.297
Br 0.000 2.283 0.000
Br 2.283 0.000 0.000
```

=====

Stability, descending: P, Q

=====

P:
A plane-wave DFT calculation with PBE-GGA was carried out for a relaxed BRu2Br crystal.

Structure (extended XYZ):
```
8
Lattice="-2.558 2.558 5.124 2.558 -2.558 5.124 2.558 2.558 -5.124" Properties=species:S:1:pos:R:3 pbc="T T T"
B 0.000 0.000 0.000
B 0.000 2.558 2.562
Ru 3.837 0.907 -1.281
Ru 0.907 1.279 1.281
Ru -1.279 1.651 3.843
Ru 1.651 1.279 6.405
Br 2.558 0.000 2.562
Br 0.000 0.000 5.124
```

=====

Q:
A plane-wave DFT calculation with PBE-GGA was carried out for a relaxed BRu2Br crystal.

Structure (extended XYZ):
```
4
Lattice="0.000 2.965 2.965 2.965 0.000 2.965 2.965 2.965 0.000" Properties=species:S:1:pos:R:3 pbc="T T T"
B 0.000 0.000 0.000
Ru 1.483 1.483 1.483
Ru 4.448 4.448 4.448
Br 2.965 2.965 2.965
```

=====

Stability, descending: P, Q

=====

P:
A plane-wave DFT calculation with PBE-GGA was carried out for a relaxed B3RuBr crystal.

Structure (extended XYZ):
```
5
Lattice="4.039 0.000 0.000 0.000 4.039 0.000 0.000 0.000 4.039" Properties=species:S:1:pos:R:3 pbc="T T T"
B 0.000 0.000 2.019
B 0.000 2.019 0.000
B 2.019 0.000 0.000
Ru 2.019 2.019 2.019
Br 0.000 0.000 0.000
```

=====

Q:
A plane-wave DFT calculation with PBE-GGA was carried out for a relaxed B3RuBr crystal.

Structure (extended XYZ):
```
5
Lattice="4.199 0.000 0.000 0.000 4.199 0.000 0.000 0.000 4.199" Properties=species:S:1:pos:R:3 pbc="T T T"
B 0.000 0.000 2.100
B 0.000 2.100 0.000
B 2.100 0.000 0.000
Ru 0.000 0.000 0.000
Br 2.100 2.100 2.100
```

=====

Stability, descending: Q, P

=====

P:
A plane-wave DFT calculation with PBE-GGA was carried out for a relaxed B3SBr crystal.

Structure (extended XYZ):
```
5
Lattice="4.243 0.000 0.000 0.000 4.243 0.000 0.000 0.000 4.243" Properties=species:S:1:pos:R:3 pbc="T T T"
B 0.000 0.000 2.122
B 0.000 2.122 0.000
B 2.122 0.000 0.000
S 2.122 2.122 2.122
Br 0.000 0.000 0.000
```

=====

Q:
A plane-wave DFT calculation with PBE-GGA was carried out for a relaxed B3SBr crystal.

Structure (extended XYZ):
```
5
Lattice="3.999 0.000 0.000 0.000 3.999 0.000 0.000 0.000 3.999" Properties=species:S:1:pos:R:3 pbc="T T T"
B 0.000 0.000 1.999
B 0.000 1.999 0.000
B 1.999 0.000 0.000
S 0.000 0.000 0.000
Br 1.999 1.999 1.999
```

=====

Stability, descending: Q, P

=====

P:
A plane-wave DFT calculation with PBE-GGA was carried out for a relaxed BSBr crystal.

Structure (extended XYZ):
```
6
Lattice="4.621 0.000 0.000 2.304 6.696 0.000 0.015 0.064 7.564" Properties=species:S:1:pos:R:3 pbc="T T T"
B 1.166 0.404 1.921
B 5.774 6.356 5.643
S 3.472 5.481 1.964
S 3.468 1.279 5.600
Br 1.163 2.237 1.871
Br 5.777 4.523 5.693
```

=====

Q:
A plane-wave DFT calculation with PBE-GGA was carried out for a relaxed BSBr crystal.

Structure (extended XYZ):
```
6
Lattice="4.597 0.000 0.000 1.513 6.754 0.000 2.153 0.374 6.808" Properties=species:S:1:pos:R:3 pbc="T T T"
B 2.159 2.787 2.711
B 6.104 4.341 4.097
S 2.262 2.735 4.536
S 6.000 4.393 2.272
Br 2.726 1.429 1.504
Br 5.536 5.699 5.304
```

=====

Stability, descending: Q, P

=====

P:
A plane-wave DFT calculation with PBE-GGA was carried out for a relaxed BSe2SBr crystal.

Structure (extended XYZ):
```
5
Lattice="4.623 0.000 0.000 0.000 4.623 0.000 0.000 0.000 4.360" Properties=species:S:1:pos:R:3 pbc="T T T"
B 0.000 0.000 0.000
Se 0.000 2.311 0.000
Se 2.311 0.000 0.000
S 2.311 2.311 2.180
Br 0.000 0.000 2.180
```

=====

Q:
A plane-wave DFT calculation with PBE-GGA was carried out for a relaxed BSe2SBr crystal.

Structure (extended XYZ):
```
5
Lattice="4.917 0.000 0.000 0.000 4.917 0.000 0.000 0.000 5.012" Properties=species:S:1:pos:R:3 pbc="T T T"
B 0.000 0.000 0.000
Se 0.000 2.459 2.506
Se 2.459 0.000 2.506
S 2.459 2.459 2.506
Br 2.459 2.459 0.000
```

=====

Stability, descending: P, Q